1.
AgTeMo2: relaxed, PBE-GGA.

Cell lengths 4.993, 4.993, 5.057 Å; angles 77.72, 77.72, 38.08 degrees
Fractional coordinates of all 4 atoms:
Te  0.490  0.490  0.513
Mo  0.723  0.723  0.785
Mo  0.022  0.022  0.971
Ag  0.264  0.264  0.231

Uncorrected formation energy: 200 kJ/mol of formula units
Spin magnetization: 0.00 μB per atom
Crystal system: monoclinic

***

2.
Ag2TeMo: relaxed, PBE-GGA.

Cell lengths 5.600, 5.600, 2.857 Å; angles 90.00, 90.00, 120.25 degrees
Fractional coordinates of all 4 atoms:
Te  0.000  0.500  0.500
Ag  0.000  0.000  0.000
Ag  0.500  0.500  0.000
Mo  0.500  0.000  0.500

Uncorrected formation energy: 216 kJ/mol of formula units
Spin magnetization: 0.00 μB per atom
Crystal system: orthorhombic

***

3.
Ag2TeMo: relaxed, PBE-GGA.

Cell lengths 2.988, 2.988, 9.869 Å; angles 90.00, 90.00, 109.28 degrees
Fractional coordinates of all 4 atoms:
Mo  0.000  0.000  0.494
Te  0.500  0.500  0.709
Ag  0.500  0.500  0.263
Ag  0.000  0.000  0.035

Uncorrected formation energy: 193 kJ/mol of formula units
Spin magnetization: 0.00 μB per atom
Crystal system: orthorhombic

***

4.
AgTeMo: relaxed, PBE-GGA.

Cell lengths 5.649, 5.649, 5.649 Å; angles 145.00, 145.00, 50.34 degrees
Each line ends with the local moment (μB).
Fractional coordinates of all 3 atoms:
Mo  0.318  0.318  0.000  0.78
Te  0.686  0.686  0.000  -0.03
Ag  0.995  0.995  0.000  0.04

Uncorrected formation energy: 126 kJ/mol of formula units
Spin magnetization: 0.30 μB per atom
Relative energy among the computed polymorphs: 0.008 eV/atom
Crystal system: tetragonal

***

5.
Zr2AgTeMo: relaxed, PBE-GGA.

Cell lengths 4.993, 5.177, 4.993 Å; angles 90.00, 90.00, 90.00 degrees
Fractional coordinates of all 5 atoms:
Ag  0.000  0.500  0.000
Te  0.500  0.500  0.500
Zr  0.500  0.000  0.000
Zr  0.000  0.000  0.500
Mo  0.000  0.000  0.000

Uncorrected formation energy: 338 kJ/mol of formula units
Spin magnetization: 0.00 μB per atom
Crystal system: tetragonal

***

6.
TiAg2Mo: relaxed, PBE-GGA.

Cell lengths 7.479, 7.479, 5.890 Å; angles 50.59, 50.59, 90.00 degrees
Fractional coordinates of all 8 atoms:
Ti  0.250  0.750  0.500
Ti  0.500  0.500  0.000
Ag  0.130  0.625  0.250
Ag  0.620  0.125  0.250
Ag  0.875  0.870  0.750
Ag  0.375  0.380  0.750
Mo  0.000  0.000  0.000
Mo  0.750  0.250  0.500

Spin magnetization: 0.00 μB per atom
Relative energy among the computed polymorphs: 0.176 eV/atom
Crystal system: tetragonal

***

7.
Ti2Ag2Mo: relaxed, PBE-GGA.

Cell lengths 3.572, 3.572, 7.696 Å; angles 76.58, 76.58, 90.00 degrees
Fractional coordinates of all 5 atoms:
Mo  0.000  0.000  0.000
Ag  0.750  0.250  0.500
Ag  0.250  0.750  0.500
Ti  0.589  0.589  0.822
Ti  0.411  0.411  0.178

Spin magnetization: 0.00 μB per atom
Relative energy among the computed polymorphs: 0.100 eV/atom
Crystal system: tetragonal

***

8.
Ti3AgMo: relaxed, PBE-GGA.

Cell lengths 4.738, 4.738, 4.738 Å; angles 90.00, 90.00, 90.00 degrees
Fractional coordinates of all 5 atoms:
Ti  0.000  0.500  0.000
Ti  0.500  0.000  0.000
Ti  0.000  0.000  0.500
Ag  0.500  0.500  0.500
Mo  0.000  0.000  0.000

Spin magnetization: 0.00 μB per atom
Relative energy among the computed polymorphs: 0.000 eV/atom
Crystal system: cubic